Entry 1:
! Ho8In2Hg | Alexandria via LeMat-Bulk | PBE-GGA | optimized geometry; values from VASP
&SYSTEM
  ibrav = 0, nat = 11, ntyp = 3
/
ATOMIC_SPECIES
Ho 164.93 Ho.upf
In 114.82 In.upf
Hg 200.59 Hg.upf
ATOMIC_POSITIONS crystal
Ho 0.0198 0.0198 0.2578
Ho 0.2006 0.2006 0.7921
Ho 0.3422 0.3422 0.5386
Ho 0.4071 0.4071 0.0398
Ho 0.5929 0.5929 0.9602
Ho 0.6578 0.6578 0.4614
Ho 0.7994 0.7994 0.2079
Ho 0.9802 0.9802 0.7422
In 0.1908 0.1908 0.2348
In 0.8092 0.8092 0.7652
Hg 0.5000 0.5000 0.5000
CELL_PARAMETERS angstrom
9.1656 -2.5834 0.0000
9.1656 2.5834 0.0000
-1.4575 0.0000 6.7619
! Theoretical density (Mg/m³): 9.073
! Formation energy from the elements (eV/atom): -0.21
! Calculated volume (Å³ per cell): 320.2
! N(E_F) (states/eV/f.u.): 11.92
! Size of the total moment (μB/f.u.): 0.00
! Space-group type: C2/m (12)

---

Entry 2:
! Ta3AlRe | Alexandria via LeMat-Bulk | PBE-GGA | optimized geometry; values from VASP
&SYSTEM
  ibrav = 0, nat = 5, ntyp = 3
/
ATOMIC_SPECIES
Ta 180.95 Ta.upf
Al 26.98 Al.upf
Re 186.21 Re.upf
ATOMIC_POSITIONS crystal
Ta 0.0000 0.0000 0.5000
Ta 0.0000 0.5000 0.0000
Ta 0.5000 0.0000 0.0000
Al 0.5000 0.5000 0.5000
Re 0.0000 0.0000 0.0000
CELL_PARAMETERS angstrom
4.8401 0.0000 0.0000
0.0000 4.8401 0.0000
0.0000 0.0000 4.8401
! Theoretical density (Mg/m³): 11.072
! Energy above the most stable polymorph in this dataset (meV per atom): 0.0
! Formation energy from the elements (eV/atom): 1.22
! Calculated volume (Å³ per cell): 113.4
! N(E_F) (states/eV/f.u.): 2.77
! Size of the total moment (μB/f.u.): 0.00
! Space-group type: Pm-3m (221)

---

Entry 3:
! ZnCr2Ag | Alexandria via LeMat-Bulk | PBE-GGA | optimized geometry; values from VASP
&SYSTEM
  ibrav = 0, nat = 4, ntyp = 3
/
ATOMIC_SPECIES
Zn 65.41 Zn.upf
Cr 52.00 Cr.upf
Ag 107.87 Ag.upf
ATOMIC_POSITIONS crystal
Zn 0.0000 0.0000 0.0000
Cr 0.2558 0.2558 0.8213
Cr 0.7442 0.7442 0.1787
Ag 0.5000 0.5000 0.5000
CELL_PARAMETERS angstrom
4.7688 -1.4986 0.0000
4.7688 1.4986 0.0000
-1.2982 0.0000 4.0088
! Theoretical density (Mg/m³): 8.035
! Formation energy from the elements (eV/atom): 0.42
! Calculated volume (Å³ per cell): 57.3
! N(E_F) (states/eV/f.u.): 1.31
! Size of the total moment (μB/f.u.): 0.00
! Space-group type: C2/m (12)

---

Entry 4:
! CsHg3Au | Alexandria via LeMat-Bulk | PBE-GGA | optimized geometry; values from VASP
&SYSTEM
  ibrav = 0, nat = 20, ntyp = 3
/
ATOMIC_SPECIES
Cs 132.91 Cs.upf
Hg 200.59 Hg.upf
Au 196.97 Au.upf
ATOMIC_POSITIONS crystal
Cs 0.0444 0.9556 0.7500
Cs 0.2825 0.7175 0.2500
Cs 0.7175 0.2825 0.7500
Cs 0.9556 0.0444 0.2500
Hg 0.0628 0.5846 0.7691
Hg 0.1336 0.3158 0.5424
Hg 0.3158 0.1336 0.0424
Hg 0.3647 0.4481 0.8763
Hg 0.4154 0.9372 0.7309
Hg 0.4481 0.3647 0.3763
Hg 0.5519 0.6353 0.6237
Hg 0.5846 0.0628 0.2691
Hg 0.6353 0.5519 0.1237
Hg 0.6842 0.8664 0.9576
Hg 0.8664 0.6842 0.4576
Hg 0.9372 0.4154 0.2309
Au 0.0898 0.3055 0.9320
Au 0.3055 0.0898 0.4320
Au 0.6945 0.9102 0.5680
Au 0.9102 0.6945 0.0680
CELL_PARAMETERS angstrom
6.6472 -7.1499 0.0000
6.6472 7.1499 0.0000
-0.0501 0.0000 7.4828
! Theoretical density (Mg/m³): 8.700
! Energy above the most stable polymorph in this dataset (meV per atom): 59.9
! Formation energy from the elements (eV/atom): -0.16
! Calculated volume (Å³ per cell): 711.3
! N(E_F) (states/eV/f.u.): 0.49
! Size of the total moment (μB/f.u.): 0.00
! Space-group type: C2/c (15)

---

Entry 5:
! SrSc2Ru | Alexandria via LeMat-Bulk | PBE-GGA | optimized geometry; values from VASP
&SYSTEM
  ibrav = 0, nat = 4, ntyp = 3
/
ATOMIC_SPECIES
Sr 87.62 Sr.upf
Sc 44.96 Sc.upf
Ru 101.07 Ru.upf
ATOMIC_POSITIONS crystal
Sr 0.0000 0.0000 0.0000
Sc 0.5000 0.5000 0.0000
Sc 0.7500 0.2500 0.5000
Ru 0.2500 0.7500 0.5000
CELL_PARAMETERS angstrom
-2.1532 2.1532 4.9026
2.1532 -2.1532 4.9026
2.1532 2.1532 -4.9026
! Theoretical density (Mg/m³): 5.088
! Energy above the most stable polymorph in this dataset (meV per atom): 580.2
! Formation energy from the elements (eV/atom): 0.38
! Calculated volume (Å³ per cell): 90.9
! N(E_F) (states/eV/f.u.): 4.31
! Size of the total moment (μB/f.u.): 0.00
! Space-group type: I-4m2 (119)

---

Entry 6:
! TmThCo2 | Alexandria via LeMat-Bulk | PBE-GGA | optimized geometry; values from VASP
&SYSTEM
  ibrav = 0, nat = 4, ntyp = 3
/
ATOMIC_SPECIES
Tm 168.93 Tm.upf
Th 232.04 Th.upf
Co 58.93 Co.upf
ATOMIC_POSITIONS crystal
Tm 0.0000 0.0000 0.0000
Th 0.5000 0.5000 0.5000
Co 0.2493 0.2493 0.2493
Co 0.7507 0.7507 0.7507
CELL_PARAMETERS angstrom
1.9178 1.1073 6.4162
-1.9178 1.1073 6.4162
0.0000 -2.2145 6.4162
! Theoretical density (Mg/m³): 10.539
! Energy above the most stable polymorph in this dataset (meV per atom): 215.8
! Formation energy from the elements (eV/atom): -0.07
! Calculated volume (Å³ per cell): 81.8
! N(E_F) (states/eV/f.u.): 3.42
! Size of the total moment (μB/f.u.): 0.00
! Space-group type: R-3m (166)

---

Entry 7:
! Cs2LiSI6 | Alexandria via LeMat-Bulk | PBE-GGA | optimized geometry; values from VASP
&SYSTEM
  ibrav = 0, nat = 10, ntyp = 4
/
ATOMIC_SPECIES
Cs 132.91 Cs.upf
Li 6.94 Li.upf
S 32.06 S.upf
I 126.90 I.upf
ATOMIC_POSITIONS crystal
Cs 0.2500 0.7500 0.5000
Cs 0.7500 0.2500 0.5000
Li 0.0000 0.0000 0.0000
S 0.5000 0.5000 0.0000
I 0.2478 0.2478 0.4957
I 0.2478 0.7522 0.0000
I 0.2696 0.2696 0.0000
I 0.7304 0.7304 0.0000
I 0.7522 0.2478 0.0000
I 0.7522 0.7522 0.5043
CELL_PARAMETERS angstrom
-4.1331 4.1331 5.9397
4.1331 -4.1331 5.9397
4.1331 4.1331 -5.9397
! Theoretical density (Mg/m³): 4.362
! Calculated volume (Å³ per cell): 405.9
! Energy (eV per atom): -2.398
! N(E_F) (states/eV/f.u.): 5.67
! Size of the total moment (μB/f.u.): 0.00
! Space-group type: I4/mmm (139)

---

Entry 8:
! SiAg2Rh | Alexandria via LeMat-Bulk | PBE-GGA | optimized geometry; values from VASP
&SYSTEM
  ibrav = 0, nat = 4, ntyp = 3
/
ATOMIC_SPECIES
Si 28.09 Si.upf
Ag 107.87 Ag.upf
Rh 102.91 Rh.upf
ATOMIC_POSITIONS crystal
Si 0.0000 0.0000 0.0000
Ag 0.5000 0.5000 0.2519
Ag 0.5000 0.5000 0.7481
Rh 0.0000 0.0000 0.5000
CELL_PARAMETERS angstrom
2.7601 0.0000 0.0000
0.0000 2.7601 0.0000
0.0000 0.0000 8.5731
! Theoretical density (Mg/m³): 8.815
! Calculated volume (Å³ per cell): 65.3
! Energy (eV per atom): -4.282
! N(E_F) (states/eV/f.u.): 3.00
! Size of the total moment (μB/f.u.): 0.72
! Space-group type: P4/mmm (123)

---

Entry 9:
! LuPuRuAu | Alexandria via LeMat-Bulk | PBE-GGA | optimized geometry; values from VASP
&SYSTEM
  ibrav = 0, nat = 4, ntyp = 4
/
ATOMIC_SPECIES
Lu 174.97 Lu.upf
Pu 244.00 Pu.upf
Ru 101.07 Ru.upf
Au 196.97 Au.upf
ATOMIC_POSITIONS crystal
Lu 0.0000 0.0000 0.0000
Pu 0.5000 0.5000 0.5000
Ru 0.2500 0.2500 0.2500
Au 0.7500 0.7500 0.7500
CELL_PARAMETERS angstrom
0.0000 3.4717 3.4717
3.4717 0.0000 3.4717
3.4717 3.4717 0.0000
! Theoretical density (Mg/m³): 14.227
! Formation energy from the elements (eV/atom): -0.37
! Calculated volume (Å³ per cell): 83.7
! N(E_F) (states/eV/f.u.): 10.65
! Size of the total moment (μB/f.u.): 5.17
! Space-group type: F-43m (216)

---

Entry 10:
! KAlZn2 | Alexandria via LeMat-Bulk | PBE-GGA | optimized geometry; values from VASP
&SYSTEM
  ibrav = 0, nat = 4, ntyp = 3
/
ATOMIC_SPECIES
K 39.10 K.upf
Al 26.98 Al.upf
Zn 65.41 Zn.upf
ATOMIC_POSITIONS crystal
K 0.0000 0.0000 0.0000
Al 0.5000 0.5000 0.5000
Zn 0.1900 0.1900 0.1900
Zn 0.8100 0.8100 0.8100
CELL_PARAMETERS angstrom
2.2156 1.2792 6.1477
-2.2156 1.2792 6.1477
0.0000 -2.5584 6.1477
! Theoretical density (Mg/m³): 3.127
! Formation energy from the elements (eV/atom): 0.02
! Calculated volume (Å³ per cell): 104.5
! N(E_F) (states/eV/f.u.): 2.08
! Size of the total moment (μB/f.u.): 0.00
! Space-group type: R-3m (166)

---

Entry 11:
! Tb4Sm2Dy5 | Alexandria via LeMat-Bulk | PBE-GGA | optimized geometry; values from VASP
&SYSTEM
  ibrav = 0, nat = 11, ntyp = 3
/
ATOMIC_SPECIES
Tb 158.93 Tb.upf
Sm 150.36 Sm.upf
Dy 162.50 Dy.upf
ATOMIC_POSITIONS crystal
Tb 0.0968 0.0968 0.0000
Tb 0.1933 0.5000 0.6933
Tb 0.8067 0.5000 0.3067
Tb 0.9032 0.9032 0.0000
Sm 0.2315 0.2315 0.0000
Sm 0.7685 0.7685 0.0000
Dy 0.1598 0.3564 0.8034
Dy 0.4470 0.6436 0.8034
Dy 0.5000 0.0000 0.5000
Dy 0.5530 0.3564 0.1966
Dy 0.8402 0.6436 0.1966
CELL_PARAMETERS angstrom
-1.7493 4.5319 11.5864
1.7493 -4.5319 11.5864
1.7493 4.5319 -11.5864
! Theoretical density (Mg/m³): 7.904
! Energy above the most stable polymorph in this dataset (meV per atom): 73.5
! Formation energy from the elements (eV/atom): 0.22
! Calculated volume (Å³ per cell): 367.4
! N(E_F) (states/eV/f.u.): 16.47
! Size of the total moment (μB/f.u.): 0.00
! Space-group type: Immm (71)

---

Entry 12:
! Pa2Os | Alexandria via LeMat-Bulk | PBE-GGA | optimized geometry; values from VASP
&SYSTEM
  ibrav = 0, nat = 12, ntyp = 2
/
ATOMIC_SPECIES
Pa 231.04 Pa.upf
Os 190.23 Os.upf
ATOMIC_POSITIONS crystal
Pa 0.0235 0.2500 0.1605
Pa 0.1533 0.2500 0.5505
Pa 0.3467 0.7500 0.0505
Pa 0.4765 0.7500 0.6605
Pa 0.5235 0.2500 0.3395
Pa 0.6533 0.2500 0.9495
Pa 0.8467 0.7500 0.4495
Pa 0.9765 0.7500 0.8395
Os 0.2462 0.7500 0.3429
Os 0.2538 0.2500 0.8429
Os 0.7462 0.7500 0.1571
Os 0.7538 0.2500 0.6571
CELL_PARAMETERS angstrom
8.1724 0.0000 0.0000
0.0000 3.6312 0.0000
0.0000 0.0000 9.2065
! Theoretical density (Mg/m³): 15.858
! Formation energy from the elements (eV/atom): -0.23
! Calculated volume (Å³ per cell): 273.2
! N(E_F) (states/eV/f.u.): 4.19
! Size of the total moment (μB/f.u.): 0.00
! Space-group type: Pnma (62)

---

Q: Among the records above, which one has the lowest theoretical density?
A: KAlZn2

---

Q: What is the formula in the second record?
A: Ta3AlRe

---

What did the twelfth record say?
! Pa2Os | Alexandria via LeMat-Bulk | PBE-GGA | optimized geometry; values from VASP
&SYSTEM
  ibrav = 0, nat = 12, ntyp = 2
/
ATOMIC_SPECIES
Pa 231.04 Pa.upf
Os 190.23 Os.upf
ATOMIC_POSITIONS crystal
Pa 0.0235 0.2500 0.1605
Pa 0.1533 0.2500 0.5505
Pa 0.3467 0.7500 0.0505
Pa 0.4765 0.7500 0.6605
Pa 0.5235 0.2500 0.3395
Pa 0.6533 0.2500 0.9495
Pa 0.8467 0.7500 0.4495
Pa 0.9765 0.7500 0.8395
Os 0.2462 0.7500 0.3429
Os 0.2538 0.2500 0.8429
Os 0.7462 0.7500 0.1571
Os 0.7538 0.2500 0.6571
CELL_PARAMETERS angstrom
8.1724 0.0000 0.0000
0.0000 3.6312 0.0000
0.0000 0.0000 9.2065
! Theoretical density (Mg/m³): 15.858
! Formation energy from the elements (eV/atom): -0.23
! Calculated volume (Å³ per cell): 273.2
! N(E_F) (states/eV/f.u.): 4.19
! Size of the total moment (μB/f.u.): 0.00
! Space-group type: Pnma (62)

---

What did the first record say?
! Ho8In2Hg | Alexandria via LeMat-Bulk | PBE-GGA | optimized geometry; values from VASP
&SYSTEM
  ibrav = 0, nat = 11, ntyp = 3
/
ATOMIC_SPECIES
Ho 164.93 Ho.upf
In 114.82 In.upf
Hg 200.59 Hg.upf
ATOMIC_POSITIONS crystal
Ho 0.0198 0.0198 0.2578
Ho 0.2006 0.2006 0.7921
Ho 0.3422 0.3422 0.5386
Ho 0.4071 0.4071 0.0398
Ho 0.5929 0.5929 0.9602
Ho 0.6578 0.6578 0.4614
Ho 0.7994 0.7994 0.2079
Ho 0.9802 0.9802 0.7422
In 0.1908 0.1908 0.2348
In 0.8092 0.8092 0.7652
Hg 0.5000 0.5000 0.5000
CELL_PARAMETERS angstrom
9.1656 -2.5834 0.0000
9.1656 2.5834 0.0000
-1.4575 0.0000 6.7619
! Theoretical density (Mg/m³): 9.073
! Formation energy from the elements (eV/atom): -0.21
! Calculated volume (Å³ per cell): 320.2
! N(E_F) (states/eV/f.u.): 11.92
! Size of the total moment (μB/f.u.): 0.00
! Space-group type: C2/m (12)